[1]
Compound: SrCu8Si5
Source: OQMD via LeMat-Bulk
Functional: PBE
Structure: optimized geometry

Unit cell a=8.1317 b=8.1317 c=11.7664 alpha=90.00 beta=90.00 gamma=90.00
Closest atoms and distances in Å follow each position.
Space group I4/mcm (No. 140)
Asymmetric unit:
Sr 0.0000 0.0000 0.2500  8 Si 3.33, 16 Cu 3.35-3.42
Cu 0.0575 0.2072 0.0000  5 Si 2.43-2.59, 5 Cu 2.47-2.71
Cu 0.1184 0.3816 0.1792  5 Si 2.39-2.58, 4 Cu 2.55-2.59
Si 0.0000 0.5000 0.0000  8 Cu 2.43-2.51, 4 Si 2.54
Si 0.1818 0.3182 0.3769  8 Cu 2.39-2.59, 1 Si 2.54

volume	13.894	Å³/atom
raw total energy	-0.1588	Ha/atom
theoretical density	6.3	g cm⁻³

***

[2]
Compound: AlPt2
Source: OQMD via LeMat-Bulk
Functional: PBE
Structure: optimized geometry

Unit cell a=7.4365 b=7.4365 c=7.4365 alpha=90.00 beta=90.00 gamma=90.00
Closest atoms and distances in Å follow each position.
Space group Fd-3m (No. 227, origin choice 2)
Asymmetric unit:
Al 0.1250 0.1250 0.1250  12 Pt 3.08, 4 Al 3.22
Pt 0.0000 0.0000 0.5000  6 Pt 2.63

volume	17.135	Å³/atom
raw total energy	-0.2011	Ha/atom
theoretical density	13.5	g cm⁻³